Material: MgIrW2
Method: DFT, PBE
State: optimized geometry

Cell: 4.771 4.771 5.083 Å, 83.12 83.12 33.80°
Atoms (fractional coordinates):
W: 0.761 0.761 0.751
W: 0.003 0.003 0.001
Ir: 0.493 0.493 0.488
Mg: 0.243 0.243 0.260

Results
Symmetry = No. 8
DFT total energy = -35.65 eV per cell
DOS(E_F) = 2.63 states/eV per cell
Energy of formation from the pure elements = 0.178 eV/atom
Spin magnetization = 0.00 μB/f.u.

Material: PuCr2N
Method: DFT, PBE
State: optimized geometry

Cell: 2.922 2.922 7.300 Å, 78.46 78.46 60.00°
Last column: magnetic moment on the atom in μB.
Atoms (fractional coordinates):
Cr: 0.881 0.881 0.358  0.28
Cr: 0.119 0.119 0.642  0.28
N: 0.500 0.500 0.500  -0.01
Pu: 0.000 0.000 0.000  4.48

Results
Symmetry = No. 166
DFT total energy = -41.46 eV per cell
DOS(E_F) = 6.41 states/eV per cell
Spin magnetization = 5.05 μB/f.u.

Material: Al2Rh
Method: DFT, PBE
State: optimized geometry

Cell: 4.260 4.260 2.808 Å, 90.00 90.00 90.00°
Atoms (fractional coordinates):
Rh: 0.000 0.000 0.000
Al: 0.000 0.500 0.500
Al: 0.500 0.000 0.500

Results
Symmetry = No. 123
DFT total energy = -16.96 eV per cell
DOS(E_F) = 1.15 states/eV per cell
Energy of formation from the pure elements = -0.706 eV/atom
Spin magnetization = 0.00 μB/f.u.

Material: Eu2NF
Method: DFT, PBE
State: optimized geometry

Cell: 3.155 3.155 6.546 Å, 90.00 90.00 90.00°
Last column: magnetic moment on the atom in μB.
Atoms (fractional coordinates):
F: 0.500 0.500 0.500  0.00
Eu: 0.000 0.000 0.217  6.93
Eu: 0.000 0.000 0.783  6.93
N: 0.500 0.500 0.000  -0.15

Results
Symmetry = No. 123
DFT total energy = -36.89 eV per cell
DOS(E_F) = 1.48 states/eV per cell
Spin magnetization = 14.00 μB/f.u.

Material: ScTaCo2
Method: DFT, PBE
State: optimized geometry

Cell: 4.105 4.105 5.575 Å, 79.61 79.61 42.92°
Atoms (fractional coordinates):
Co: 0.507 0.507 0.465
Co: 0.993 0.993 0.035
Ta: 0.250 0.250 0.250
Sc: 0.750 0.750 0.750

Results
Symmetry = No. 12
DFT total energy = -32.13 eV per cell
DOS(E_F) = 5.34 states/eV per cell
Energy of formation from the pure elements = 0.067 eV/atom
Spin magnetization = 0.00 μB/f.u.

Material: CrCdFe2
Method: DFT, PBE
State: optimized geometry

Cell: 8.832 8.832 8.832 Å, 17.67 17.67 17.67°
Last column: magnetic moment on the atom in μB.
Atoms (fractional coordinates):
Cr: 0.738 0.738 0.738  -0.82
Cd: 0.500 0.500 0.500  -0.01
Fe: 0.002 0.002 0.002  1.90
Fe: 0.260 0.260 0.260  2.61

Results
Symmetry = No. 160
DFT total energy = -25.84 eV per cell
DOS(E_F) = 3.89 states/eV per cell
Energy of formation from the pure elements = 0.406 eV/atom
Spin magnetization = 3.60 μB/f.u.

Material: Pr2DyY
Method: DFT, PBE
State: optimized geometry

Cell: 5.847 7.358 7.358 Å, 119.47 90.00 90.00°
Atoms (fractional coordinates):
Y: 0.250 0.417 0.583
Y: 0.750 0.583 0.417
Dy: 0.750 0.082 0.918
Dy: 0.250 0.918 0.082
Pr: 0.250 0.415 0.084
Pr: 0.750 0.084 0.415
Pr: 0.250 0.916 0.585
Pr: 0.750 0.585 0.916

Results
Symmetry = No. 63
DFT total energy = -41.07 eV per cell
DOS(E_F) = 14.18 states/eV per cell
Energy of formation from the pure elements = 0.022 eV/atom
Spin magnetization = 0.00 μB/f.u.
Energy above the lowest structure with this stoichiometry = 0.013 eV per atom

Material: Sc8InFe2
Method: DFT, PBE
State: optimized geometry

Cell: 4.930 6.338 8.321 Å, 112.33 107.23 90.00°
Atoms (fractional coordinates):
Fe: 0.467 0.284 0.571
Fe: 0.805 0.622 0.247
Sc: 0.310 0.360 0.256
Sc: 0.524 0.703 0.684
Sc: 0.926 0.442 0.488
Sc: 0.749 0.929 0.134
Sc: 0.347 0.862 0.330
Sc: 0.963 0.013 0.562
Sc: 0.636 0.276 0.908
Sc: 0.137 0.531 0.910
In: 0.136 0.977 0.909

Results
Symmetry = No. 8
DFT total energy = -71.79 eV per cell
DOS(E_F) = 8.84 states/eV per cell
Energy of formation from the pure elements = -0.134 eV/atom
Spin magnetization = 0.00 μB/f.u.

Material: Mg4AlW
Method: DFT, PBE
State: optimized geometry

Cell: 5.482 5.482 5.482 Å, 60.00 60.00 60.00°
Last column: magnetic moment on the atom in μB.
Atoms (fractional coordinates):
Al: 0.000 0.000 0.000  0.00
W: 0.750 0.750 0.750  1.76
Mg: 0.375 0.375 0.375  0.01
Mg: 0.375 0.874 0.375  0.01
Mg: 0.375 0.375 0.874  0.01
Mg: 0.874 0.375 0.375  0.01

Results
Symmetry = No. 216
DFT total energy = -19.13 eV per cell
DOS(E_F) = 4.14 states/eV per cell
Energy of formation from the pure elements = 0.658 eV/atom
Spin magnetization = 2.79 μB/f.u.

Material: Tb5Nd7Sm
Method: DFT, PBE
State: optimized geometry

Cell: 6.751 8.876 8.876 Å, 79.95 67.65 67.65°
Atoms (fractional coordinates):
Tb: 0.996 0.000 0.540
Tb: 0.996 0.540 0.000
Tb: 0.731 0.769 0.769
Tb: 0.464 0.000 0.540
Tb: 0.464 0.540 0.000
Nd: 0.231 0.269 0.269
Nd: 0.732 0.268 0.268
Nd: 0.980 0.348 0.693
Nd: 0.424 0.576 0.576
Nd: 0.482 0.189 0.847
Nd: 0.980 0.693 0.348
Nd: 0.482 0.847 0.189
Sm: 0.040 0.960 0.960

Results
Symmetry = No. 44
DFT total energy = -58.33 eV per cell
DOS(E_F) = 22.40 states/eV per cell
Energy of formation from the pure elements = 0.224 eV/atom
Spin magnetization = 0.00 μB/f.u.

Material: Ba2Ti2S5
Method: DFT, PBE
State: optimized geometry

Cell: 4.820 4.820 9.366 Å, 90.00 90.00 90.00°
Last column: magnetic moment on the atom in μB.
Atoms (fractional coordinates):
S: 0.000 0.500 0.774  -0.01
S: 0.000 0.500 0.226  -0.01
S: 0.500 0.000 0.226  -0.01
S: 0.500 0.500 0.500  -0.02
S: 0.500 0.000 0.774  -0.01
Ti: 0.500 0.500 0.744  0.25
Ti: 0.500 0.500 0.256  0.25
Ba: 0.000 0.000 0.500  0.00
Ba: 0.000 0.000 0.000  0.00

Results
Symmetry = No. 123
DFT total energy = -54.94 eV per cell
DOS(E_F) = 4.91 states/eV per cell
Spin magnetization = 0.59 μB/f.u.
Energy above the lowest structure with this stoichiometry = 0.000 eV per atom

Material: BaZn2HgRu
Method: DFT, PBE
State: optimized geometry

Cell: 4.927 4.927 5.304 Å, 90.00 90.00 90.00°
Atoms (fractional coordinates):
Ru: 0.000 0.000 0.000
Zn: 0.000 0.500 0.000
Zn: 0.500 0.000 0.000
Hg: 0.000 0.000 0.500
Ba: 0.500 0.500 0.500

Results
Symmetry = No. 123
DFT total energy = -14.60 eV per cell
DOS(E_F) = 2.75 states/eV per cell
Energy of formation from the pure elements = -0.111 eV/atom
Spin magnetization = 0.00 μB/f.u.